# Ca2LaHgC

A relaxed structure of Ca2LaHgC (PBE-GGA, Alexandria via LeMat-Bulk).

Cell and atoms, written as POSCAR:
```
Ca2LaHgC
1.0
-2.898 -1.142 -5.558
2.643 -3.265 -0.707
-4.071 -3.929 2.930
C Ca Hg La
1 2 1 1
direct
0.000 0.500 0.000
0.000 0.000 0.500
0.500 0.000 0.000
0.500 0.500 0.500
0.000 0.000 0.000
```

distance to the lowest polymorph of the same formula	1.036	eV per atom
SG	P4/mmm, No. 123
E_form	0.9223	eV per atom
total moment	0.00	μB/atom
volume	173	Å³/cell